# 1
Here is a geometry-optimized ScCuSi3 structure from Alexandria. Energies are from GGA-PBE.

Cell and atoms, written as CIF:
```
data_ScCuSi3
_chemical_formula_sum 'Sc1 Cu1 Si3'
_space_group_name_H-M_alt 'P m -3 m'
_space_group_IT_number 221
_space_group_name_Hall '-P 4 2 3'
_cell_length_a 4.973
_cell_length_b 4.973
_cell_length_c 4.973
_cell_angle_alpha 90.00
_cell_angle_beta 90.00
_cell_angle_gamma 90.00
loop_
_atom_site_label
_atom_site_fract_x
_atom_site_fract_y
_atom_site_fract_z
Sc1 0.000 0.000 0.000
Cu1 0.500 0.500 0.500
Si1 0.000 0.000 0.500
```

## Properties
The uncorrected formation energy comes out at 6.0 eV per formula unit.

=====

# 2
Here is a geometry-optimized Co3Au structure from Alexandria. Energies are from GGA-PBE.

Cell and atoms, written as CIF:
```
data_Co3Au
_chemical_formula_sum 'Co9 Au3'
_space_group_name_H-M_alt 'R -3 m'
_space_group_IT_number 166
_space_group_name_Hall '-R 3 2"'
_cell_length_a 8.3873
_cell_length_b 8.3873
_cell_length_c 2.5893
_cell_angle_alpha 90.00
_cell_angle_beta 90.00
_cell_angle_gamma 120.00
loop_
_atom_site_label
_atom_site_fract_x
_atom_site_fract_y
_atom_site_fract_z
Co1 0.0000 0.5000 0.0000
Au1 0.0000 0.0000 0.0000
```

## Properties
The energy of formation from the pure elements is 8.0 kcal/mol of atoms.

=====

# 3
Here is a geometry-optimized Nd4SiRh structure from Alexandria. Energies are from GGA-PBE.

Cell and atoms, written as CIF:
```
data_Nd4SiRh
_chemical_formula_sum 'Nd16 Si4 Rh4'
_space_group_name_H-M_alt 'C 1 2/c 1'
_space_group_IT_number 15
_cell_length_a 9.012
_cell_length_b 13.841
_cell_length_c 6.248
_cell_angle_alpha 90.00
_cell_angle_beta 120.48
_cell_angle_gamma 90.00
loop_
_space_group_symop_operation_xyz
'x,y,z'
'-x,-y,-z'
'-x,y,-z+1/2'
'x,-y,z+1/2'
'x+1/2,y+1/2,z'
'-x+1/2,-y+1/2,-z'
'-x+1/2,y+1/2,-z+1/2'
'x+1/2,-y+1/2,z+1/2'
loop_
_atom_site_label
_atom_site_fract_x
_atom_site_fract_y
_atom_site_fract_z
Nd1 0.124 0.187 0.088
Nd2 0.207 0.437 0.301
Si1 0.000 0.372 0.750
Rh1 0.000 0.001 0.250
```

## Properties
The uncorrected formation energy comes out at -2.8 eV per formula unit.

=====

# 4
Here is a geometry-optimized RbNaPb2 structure from Alexandria. Energies are from GGA-PBE.

Cell and atoms, written as CIF:
```
data_RbNaPb2
_chemical_formula_sum 'Rb1 Na1 Pb2'
_space_group_name_H-M_alt 'P 4/m m m'
_space_group_IT_number 123
_space_group_name_Hall '-P 4 2'
_cell_length_a 4.025
_cell_length_b 4.025
_cell_length_c 8.605
_cell_angle_alpha 90.00
_cell_angle_beta 90.00
_cell_angle_gamma 90.00
loop_
_atom_site_label
_atom_site_fract_x
_atom_site_fract_y
_atom_site_fract_z
Rb1 0.000 0.000 0.000
Na1 0.000 0.000 0.500
Pb1 0.500 0.500 0.313
```

## Properties
The energy of formation from the pure elements is -2.5 kcal/mol of atoms. The calculation puts the polymorph energy (0 for the lowest one) at 0.015 eV per atom.

=====

no.,raw total energy (eV per atom),density of states at the Fermi level (states/eV per atom)
1,-4.143,0.684
2,-5.800,1.480
3,-5.774,0.919
4,-2.535,0.499